No. 1
A relaxed KCuTe2MoS crystal. Source: the Open Quantum Materials Database, functional GGA-PBE.

Summary:
DFT total energy: -56.21 eV for the cell shown
SG: Cmcm (63)

Cell: 8.0528 8.0528 9.9245 Å, 90.00 90.00 151.64°
Closest atoms and distances in Å follow each position.
Atoms (fractional coordinates):
S 0.9419 0.0581 0.2500  2 Cu 2.30
Cu 0.4829 0.5171 0.7500  2 S 2.30, 2 Te 2.56
Te 0.3768 0.6232 0.5528  1 Cu 2.56, 2 Mo 2.80
Cu 0.5171 0.4829 0.2500  2 S 2.30, 2 Te 2.56
S 0.0581 0.9419 0.7500  2 Cu 2.30
Mo 0.0000 0.0000 0.5000  2 S 2.64, 4 Te 2.80
Te 0.6232 0.3768 0.4472  1 Cu 2.56, 2 Mo 2.80
Te 0.6232 0.3768 0.0528  1 Cu 2.56, 2 Mo 2.80
K 0.7274 0.2726 0.7500  2 S 3.30, 6 Te 3.42-3.63
K 0.2726 0.7274 0.2500  2 S 3.30, 6 Te 3.42-3.63
Mo 0.0000 0.0000 0.0000  2 S 2.64, 4 Te 2.80
Te 0.3768 0.6232 0.9472  1 Cu 2.56, 2 Mo 2.80


No. 2
A relaxed TbDy2In3Ni3 crystal. Source: the Open Quantum Materials Database, functional GGA-PBE.

Summary:
DFT total energy: -43.35 eV for the cell shown
SG: Amm2 (38)

Cell: 3.7805 7.4497 7.4497 Å, 119.98 90.00 90.00°
Closest atoms and distances in Å follow each position.
Atoms (fractional coordinates):
In 0.0000 0.0003 0.7457  4 Ni 2.68-2.83
Ni 0.0000 0.3331 0.6667  3 In 2.82-2.83, 4 Dy 2.94, 2 Tb 2.94
Ni 0.0000 0.6667 0.3331  3 In 2.82-2.83, 4 Dy 2.94, 2 Tb 2.94
In 0.0000 0.7457 0.0003  4 Ni 2.68-2.83
Dy 0.5000 0.0000 0.4109  5 Ni 2.94-3.06, 6 In 3.13-3.28
Tb 0.5000 0.5890 0.5890  5 Ni 2.94-3.06, 6 In 3.13-3.28
In 0.0000 0.2540 0.2540  4 Ni 2.67-2.83
Dy 0.5000 0.4109 0.0000  5 Ni 2.94-3.06, 6 In 3.13-3.28
Ni 0.5000 0.0002 0.0002  6 In 2.67-2.68


No. 3
A relaxed In2Cu2TeS3 crystal. Source: the Open Quantum Materials Database, functional GGA-PBE.

Summary:
DFT total energy: -31.71 eV for the cell shown
SG: C2 (5)

Cell: 7.0480 7.0480 5.7123 Å, 113.84 113.84 48.25°
Closest atoms and distances in Å follow each position.
Atoms (fractional coordinates):
Cu 0.7421 0.5317 0.4118  3 S 2.32-2.34, 1 Te 2.60
S 0.4104 0.5896 0.5000  2 Cu 2.32, 2 In 2.53
S 0.6261 0.8748 0.2775  2 Cu 2.32-2.34, 2 In 2.55
S 0.1252 0.3739 0.7225  2 Cu 2.32-2.34, 2 In 2.55
Te 0.8368 0.1632 0.0000  2 Cu 2.60, 2 In 2.78
In 0.2761 0.9849 0.8641  3 S 2.53-2.55, 1 Te 2.78
Cu 0.4683 0.2579 0.5882  3 S 2.32-2.34, 1 Te 2.60
In 0.0151 0.7239 0.1359  3 S 2.53-2.55, 1 Te 2.78


No. 4
A relaxed CdBiSbO crystal. Source: the Open Quantum Materials Database, functional GGA-PBE.

Summary:
DFT total energy: -31.30 eV for the cell shown
SG: P4/nmm (129)
Energy above the lowest structure with this stoichiometry: 20 meV/atom

Cell: 4.2671 4.2671 9.7153 Å, 90.00 90.00 90.03°
Closest atoms and distances in Å follow each position.
Atoms (fractional coordinates):
Sb 0.2500 0.7500 0.7916  4 Cd 2.94
Cd 0.2500 0.2500 0.0000  4 Sb 2.94, 4 Cd 3.02
O 0.2500 0.2500 0.5000  4 Bi 2.42
Bi 0.7500 0.2500 0.6172  4 O 2.42
Sb 0.7500 0.2500 0.2084  4 Cd 2.94
Bi 0.2500 0.7500 0.3828  4 O 2.42
Cd 0.7500 0.7500 0.0000  4 Sb 2.94, 4 Cd 3.02
O 0.7500 0.7500 0.5000  4 Bi 2.42


No. 5
A relaxed Ta2BeO4 crystal. Source: the Open Quantum Materials Database, functional GGA-PBE.

Summary:
DFT total energy: -126.70 eV for the cell shown
SG: Fd-3m (227)

Cell: 5.8149 5.8149 5.8149 Å, 120.00 90.00 120.00°
Closest atoms and distances in Å follow each position.
Atoms (fractional coordinates):
Be 0.0000 0.0000 0.0000  4 O 1.63
O 0.6575 0.7717 0.8859  1 Be 1.63
O 0.1141 0.2283 0.3424  1 Be 1.63
O 0.0924 0.7283 0.3641  1 Be 1.63
O 0.1141 0.7717 0.8858  1 Be 1.63
Ta 0.8750 0.2500 0.6250  6 O 2.15
O 0.6358 0.2717 0.3641  1 Be 1.63
O 0.6359 0.2717 0.9076  1 Be 1.63
Ta 0.3750 0.7500 0.1250  6 O 2.15
O 0.6359 0.7283 0.3642  1 Be 1.63
Ta 0.3750 0.2500 0.6250  6 O 2.15
Ta 0.3750 0.7500 0.6250  6 O 2.15
O 0.1142 0.2283 0.8859  1 Be 1.63
Be 0.7500 0.5000 0.2500  4 O 1.63


No. 6
A relaxed LiNi3Sn5 crystal. Source: the Open Quantum Materials Database, functional GGA-PBE.

Summary:
DFT total energy: -40.12 eV for the cell shown
SG: P6/mmm (191)

Cell: 5.1934 5.1934 7.7884 Å, 90.00 90.00 120.00°
Closest atoms and distances in Å follow each position.
Atoms (fractional coordinates):
Ni 0.5000 0.5000 0.5000  4 Ni 2.60, 6 Sn 2.60-2.73
Sn 0.3333 0.6667 0.7922  3 Ni 2.73, 3 Sn 3.00
Sn 0.6667 0.3333 0.2078  3 Ni 2.73, 3 Sn 3.00
Ni 0.0000 0.5000 0.5000  6 Sn 2.60-2.73, 4 Ni 2.60
Sn 0.6667 0.3333 0.7922  3 Ni 2.73, 3 Sn 3.00
Sn 0.3333 0.6667 0.2078  3 Ni 2.73, 3 Sn 3.00
Sn 0.0000 0.0000 0.5000  6 Ni 2.60
Ni 0.5000 0.0000 0.5000  4 Ni 2.60, 6 Sn 2.60-2.73
Li 0.0000 0.0000 0.0000  12 Sn 3.41